[1]
Density functional theory data (PBE) for an optimized crystal structure of Ta3N. Values from VASP.

- magnetic moment (μB/atom) = 0.00
- polymorph energy (0 for the lowest one) (meV/atom) = 232.5
- formation energy (no corrections) (meV/atom) = -231
- N(E_F) (states/eV/f.u.) = 3.1

Geometry as Quantum ESPRESSO input:
```
&SYSTEM
  ibrav = 0, nat = 4, ntyp = 2
/
ATOMIC_SPECIES
Ta 180.95 Ta.upf
N 14.01 N.upf
ATOMIC_POSITIONS angstrom
Ta 0.0000 0.0000 0.0000
Ta 0.0000 1.4276 2.6658
Ta 1.4246 1.4276 5.3003
N 1.4246 0.0000 1.7210
CELL_PARAMETERS angstrom
2.8492 0.0000 0.0000
0.0000 2.8553 0.0000
0.0000 0.0000 7.5539
```

***

[2]
Density functional theory data (PBE) for an optimized crystal structure of Ta3N. Values from VASP.

- magnetic moment (μB/atom) = 0.00
- polymorph energy (0 for the lowest one) (meV/atom) = 251.7
- formation energy (no corrections) (meV/atom) = -212
- N(E_F) (states/eV/f.u.) = 2.4

Geometry as Quantum ESPRESSO input:
```
&SYSTEM
  ibrav = 0, nat = 4, ntyp = 2
/
ATOMIC_SPECIES
Ta 180.95 Ta.upf
N 14.01 N.upf
ATOMIC_POSITIONS angstrom
Ta 0.0000 0.0000 0.0000
Ta 1.4252 2.7019 -0.0481
Ta 0.0000 1.4466 2.5164
N 0.0000 4.1485 0.7949
CELL_PARAMETERS angstrom
-1.4252 4.1485 2.5645
1.4252 -4.1485 2.5645
1.4252 4.1485 -2.5645
```

***

[3]
Density functional theory data (PBE) for an optimized crystal structure of Ta5N. Values from VASP.

- magnetic moment (μB/atom) = 0.00
- formation energy (no corrections) (meV/atom) = 314
- N(E_F) (states/eV/f.u.) = 5.8

Geometry as Quantum ESPRESSO input:
```
&SYSTEM
  ibrav = 0, nat = 6, ntyp = 2
/
ATOMIC_SPECIES
Ta 180.95 Ta.upf
N 14.01 N.upf
ATOMIC_POSITIONS angstrom
Ta 0.0000 0.0000 0.0000
Ta 1.5758 4.7703 2.5116
Ta 1.5758 2.1347 0.0000
Ta 1.5758 -2.1347 0.0000
Ta 1.5758 -4.7703 2.5116
N 1.5758 0.0000 2.5116
CELL_PARAMETERS angstrom
1.5758 -6.3448 0.0000
1.5758 6.3448 0.0000
0.0000 0.0000 5.0233
```

***

[4]
Density functional theory data (PBE) for an optimized crystal structure of Ta5N8. Values from VASP.

- magnetic moment (μB/atom) = 0.00
- formation energy (no corrections) (meV/atom) = -856
- N(E_F) (states/eV/f.u.) = 3.6

Geometry as Quantum ESPRESSO input:
```
&SYSTEM
  ibrav = 0, nat = 13, ntyp = 2
/
ATOMIC_SPECIES
Ta 180.95 Ta.upf
N 14.01 N.upf
ATOMIC_POSITIONS angstrom
Ta 0.0000 0.0000 0.0000
Ta 2.4909 1.5383 2.6781
Ta -1.8389 0.0000 5.3366
Ta 6.8208 0.0000 0.0196
Ta 2.4909 -1.5383 2.6781
N -1.4136 0.0000 1.6163
N -1.1846 1.7039 4.4680
N 6.1665 1.7039 0.8882
N 1.3972 0.0000 3.5286
N 3.5846 0.0000 1.8276
N -1.1846 -1.7039 4.4680
N 6.1665 -1.7039 0.8882
N 6.3955 0.0000 3.7398
CELL_PARAMETERS angstrom
4.8664 -3.1200 0.0000
4.8664 3.1200 0.0000
-4.7509 0.0000 5.3562
```

***

[5]
Density functional theory data (PBE) for an optimized crystal structure of Ta3N. Values from VASP.

- magnetic moment (μB/atom) = 0.00
- polymorph energy (0 for the lowest one) (meV/atom) = 0.0
- formation energy (no corrections) (meV/atom) = -464
- N(E_F) (states/eV/f.u.) = 2.9

Geometry as Quantum ESPRESSO input:
```
&SYSTEM
  ibrav = 0, nat = 4, ntyp = 2
/
ATOMIC_SPECIES
Ta 180.95 Ta.upf
N 14.01 N.upf
ATOMIC_POSITIONS angstrom
Ta 0.0000 0.0000 0.0000
Ta 0.0000 1.7492 5.0771
Ta 1.5149 0.8746 2.4643
N 0.0000 0.0000 3.7707
CELL_PARAMETERS angstrom
3.0298 0.0000 0.0000
-1.5149 2.6239 0.0000
0.0000 0.0000 7.5414
```

***

[6]
Density functional theory data (PBE) for an optimized crystal structure of Ta2N. Values from VASP.

- magnetic moment (μB/atom) = 0.00
- formation energy (no corrections) (meV/atom) = -923
- N(E_F) (states/eV/f.u.) = 0.8

Geometry as Quantum ESPRESSO input:
```
&SYSTEM
  ibrav = 0, nat = 9, ntyp = 2
/
ATOMIC_SPECIES
Ta 180.95 Ta.upf
N 14.01 N.upf
ATOMIC_POSITIONS angstrom
Ta -0.8853 1.5333 1.2580
Ta -1.7717 3.0686 3.7145
Ta 1.7705 0.0000 1.2580
Ta 0.8853 1.5333 3.7145
Ta 3.5433 0.0000 3.7145
Ta 1.7717 3.0686 1.2580
N 0.0000 0.0000 2.4863
N 0.0000 3.0680 0.0000
N 2.6569 1.5340 0.0000
CELL_PARAMETERS angstrom
5.3139 0.0000 0.0000
-2.6569 4.6019 0.0000
0.0000 0.0000 4.9725
```